[1]
The following is a PBE calculation of an optimized crystal structure of CaY4TmS8, from the Alexandria database.

abc: 8.0880 8.0880 19.7392
angles: 90.00 90.00 120.00
Space group R3m (No. 160, hexagonal axes)
Symmetry-distinct sites (fractional):
Ca1 0.0000 0.0000 0.0000
Y1 0.0000 0.0000 0.2494
Y2 0.1692 0.3383 0.4575
Tm1 0.0000 0.0000 0.6269
S1 0.0000 0.0000 0.3825
S2 0.0000 0.0000 0.8646
S3 0.0298 0.5149 0.3769
S4 0.1788 0.3576 0.2067

---

[2]
The following is a PBE calculation of an optimized crystal structure of CaYTm2S4, from the Alexandria database.

abc: 6.755 3.884 6.762
angles: 90.00 109.17 90.00
Space group P2/m (No. 10)
Symmetry-distinct sites (fractional):
Ca1 0.000 0.000 0.000
Y1 0.000 0.500 0.500
Tm1 0.500 0.000 0.500
Tm2 0.500 0.500 0.000
S1 0.257 0.000 0.753
S2 0.258 0.500 0.253

---

[3]
The following is a PBE calculation of an optimized crystal structure of Ca3Tm3ZnS8, from the Alexandria database.

abc: 7.7541 7.7541 19.5042
angles: 90.00 90.00 120.00
Space group R-3m (No. 166, hexagonal axes)
Symmetry-distinct sites (fractional):
Ca1 0.0000 0.5000 0.0000
Tm1 0.0000 0.5000 0.5000
Zn1 0.0000 0.0000 0.5000
S1 0.0000 0.0000 0.2464
S2 0.0092 0.5046 0.2426

---

[4]
The following is a PBE calculation of an optimized crystal structure of CaU2S4, from the Alexandria database.

abc: 3.825 12.960 13.317
angles: 90.00 90.00 90.00
Space group Cmcm (No. 63)
Symmetry-distinct sites (fractional):
Ca1 0.000 0.111 0.250
U1 0.000 0.366 0.066
S1 0.000 0.000 0.000
S2 0.000 0.276 0.621
S3 0.000 0.453 0.250

---

[5]
The following is a PBE calculation of an optimized crystal structure of CaU5S6, from the Alexandria database.

abc: 6.742 11.709 6.700
angles: 90.00 109.76 90.00
Space group C2/m (No. 12)
Symmetry-distinct sites (fractional):
Ca1 0.000 0.000 0.000
U1 0.000 0.167 0.500
U2 0.000 0.334 0.000
U3 0.000 0.500 0.500
S1 0.250 0.000 0.750
S2 0.250 0.167 0.249

---

[6]
The following is a PBE calculation of an optimized crystal structure of Ca2UZnS5, from the Alexandria database.

abc: 3.914 17.005 12.110
angles: 90.00 90.00 90.00
Space group Cmc2_1 (No. 36)
Symmetry-distinct sites (fractional):
Ca1 0.000 0.102 0.000
Ca2 0.000 0.120 0.641
U1 0.000 0.208 0.344
Zn1 0.000 0.446 0.764
S1 0.000 0.051 0.371
S2 0.000 0.288 0.997
S3 0.000 0.308 0.691
S4 0.000 0.363 0.328
S5 0.000 0.498 0.095

---

[7]
The following is a PBE calculation of an optimized crystal structure of CaV2S4, from the Alexandria database.

## Properties
polymorph energy (0 for the lowest one)	0.00	eV/f.u.

abc: 7.034 7.034 11.696
angles: 90.00 90.00 90.00
Space group I4_1/amd (No. 141, origin choice 2)
Symmetry-distinct sites (fractional):
Ca1 0.000 0.250 0.375
V1 0.000 0.000 0.000
S1 0.000 0.013 0.786

---

[8]
The following is a PBE calculation of an optimized crystal structure of CaVS2, from the Alexandria database.

## Properties
polymorph energy (0 for the lowest one)	1.00	eV/f.u.

abc: 6.602 6.602 6.602
angles: 90.00 90.00 90.00
Space group Fm-3m (No. 225)
Symmetry-distinct sites (fractional):
Ca1 0.000 0.000 0.000
V1 0.000 0.000 0.500
S1 0.250 0.250 0.250

---

Here are the calculated formation energy from raw total energies numbers, same order: -2007, -1993, -1857, -1549, -1432, -1517, -1071, -892 (meV/atom).
Here are the calculated M_tot numbers, same order: 0.00, 0.00, 0.00, 5.40, 11.96, 2.00, 4.00, 2.99 (μB/f.u.).
Here are the calculated final energy numbers, same order: -6.675, -6.233, -5.438, -7.419, -8.366, -5.651, -6.320, -5.736 (eV per atom).